{
  "formula": "PaAlMoO6",
  "functional": "PBE+U",
  "state": "optimized geometry",
  "magmom_total_mub_per_cell": 4.000,
  "final_energy_ev_per_fu": -73.9,
  "lattice_angstrom": [[-0.348, -2.777, 4.469], [2.177, -2.165, -4.287], [8.030, 3.064, 2.530]],
  "species": ["O", "O", "O", "O", "O", "O", "O", "O", "O", "O", "O", "O", "Al", "Al", "Mo", "Mo", "Pa", "Pa"],
  "frac_coords": [[0.036, 0.348, 0.631], [0.652, 0.688, 0.631], [0.036, 0.688, 0.869], [0.964, 0.652, 0.369], [0.688, 0.652, 0.131], [0.312, 0.964, 0.631], [0.688, 0.036, 0.369], [0.348, 0.036, 0.131], [0.652, 0.964, 0.869], [0.964, 0.312, 0.131], [0.312, 0.348, 0.869], [0.348, 0.312, 0.369], [0.667, 0.333, 0.250], [0.333, 0.667, 0.750], [0.000, 0.000, 0.000], [0.000, 0.000, 0.500], [0.667, 0.333, 0.750], [0.333, 0.667, 0.250]]
}